Entry 1:
Below is an optimized crystal structure of ThCu3Ge, with properties calculated at the PBE-GGA level.

energy relative to the elements: -0.229 eV/atom
space-group type: P2_1/m

Lattice parameters (Å, degrees): 4.653 6.076 6.090 90.01 90.00 89.94
Atoms (fractional coordinates):
Th (0.476, 0.420, 0.701)
Th (0.976, 0.932, 0.201)
Cu (0.475, 0.223, 0.201)
Cu (0.476, 0.925, 0.898)
Cu (0.976, 0.428, 0.398)
Cu (0.976, 0.129, 0.701)
Cu (0.976, 0.428, 0.003)
Cu (0.476, 0.925, 0.503)
Ge (0.975, 0.742, 0.701)
Ge (0.476, 0.610, 0.201)

***

Entry 2:
Below is an optimized crystal structure of Th2CuGe3, with properties calculated at the PBE-GGA level.

energy relative to the lowest polymorph listed for this composition: 0 meV/atom
energy relative to the elements: -0.600 eV/atom
space-group type: Fmmm

Lattice parameters (Å, degrees): 5.890 5.890 8.615 110.15 110.15 89.57
Atoms (fractional coordinates):
Th (0.750, 0.250, 0.500)
Th (0.758, 0.242, 0.000)
Th (0.250, 0.750, 0.500)
Th (0.242, 0.758, 0.000)
Cu (0.664, 0.664, 0.327)
Cu (0.336, 0.336, 0.673)
Ge (0.831, 0.831, 0.173)
Ge (0.658, 0.658, 0.827)
Ge (0.169, 0.169, 0.827)
Ge (0.342, 0.342, 0.173)
Ge (0.178, 0.178, 0.355)
Ge (0.822, 0.822, 0.645)

***

Entry 3:
Below is an optimized crystal structure of Th2CuGe3, with properties calculated at the PBE-GGA level.

energy relative to the lowest polymorph listed for this composition: 6 meV/atom
energy relative to the elements: -0.595 eV/atom
space-group type: Pmm2

Lattice parameters (Å, degrees): 4.184 4.349 7.183 90.00 90.00 90.00
Atoms (fractional coordinates):
Th (0.000, 0.500, 0.996)
Th (0.000, 0.000, 0.507)
Cu (0.500, 0.500, 0.327)
Ge (0.500, 0.000, 0.833)
Ge (0.500, 0.000, 0.181)
Ge (0.500, 0.500, 0.657)

***

Entry 4:
Below is an optimized crystal structure of ThCu4Ge2, with properties calculated at the PBE-GGA level.

energy relative to the lowest polymorph listed for this composition: 0 meV/atom
energy relative to the elements: -0.303 eV/atom
space-group type: R-3m

Lattice parameters (Å, degrees): 4.186 4.186 7.959 74.75 74.75 60.00
Atoms (fractional coordinates):
Th (0.000, 0.000, 0.000)
Cu (0.437, 0.437, 0.689)
Cu (0.142, 0.142, 0.574)
Cu (0.563, 0.563, 0.311)
Cu (0.858, 0.858, 0.426)
Ge (0.251, 0.251, 0.247)
Ge (0.749, 0.749, 0.753)

***

Entry 5:
Below is an optimized crystal structure of Th2Cu2Ge3, with properties calculated at the PBE-GGA level.

energy relative to the elements: -0.527 eV/atom
space-group type: Cmcm

Lattice parameters (Å, degrees): 4.398 6.803 9.634 90.00 103.19 90.00
Atoms (fractional coordinates):
Th (0.161, 0.250, 0.321)
Th (0.839, 0.750, 0.679)
Th (0.951, 0.250, 0.901)
Th (0.049, 0.750, 0.099)
Cu (0.688, 0.935, 0.377)
Cu (0.312, 0.065, 0.623)
Cu (0.312, 0.435, 0.623)
Cu (0.688, 0.565, 0.377)
Ge (0.218, 0.750, 0.437)
Ge (0.782, 0.250, 0.563)
Ge (0.566, 0.438, 0.131)
Ge (0.434, 0.562, 0.869)
Ge (0.434, 0.938, 0.869)
Ge (0.566, 0.062, 0.131)

***

Entry 6:
Below is an optimized crystal structure of Th3CuGe3, with properties calculated at the PBE-GGA level.

energy relative to the elements: -0.652 eV/atom
space-group type: C2/m

Lattice parameters (Å, degrees): 4.279 5.959 13.960 84.22 81.18 68.96
Atoms (fractional coordinates):
Th (0.528, 0.331, 0.614)
Th (0.472, 0.669, 0.386)
Th (0.256, 0.257, 0.231)
Th (0.744, 0.743, 0.769)
Th (0.399, 0.281, 0.920)
Th (0.601, 0.719, 0.080)
Cu (0.766, 0.073, 0.394)
Cu (0.234, 0.927, 0.606)
Ge (0.849, 0.754, 0.548)
Ge (0.151, 0.246, 0.452)
Ge (0.125, 0.828, 0.922)
Ge (0.875, 0.172, 0.078)
Ge (0.971, 0.821, 0.238)
Ge (0.029, 0.179, 0.762)

***

For each record above, in turn, the calculated M_tot values are 0.00, 0.00, 0.00, 0.00, 0.00, 0.00 μB/f.u..
For each record above, in turn, the calculated DOS(E_F) values are 2.36, 3.52, 2.98, 3.06, 4.12, 3.84 states/eV/f.u..